A:
# V2HgIr2 (PBE-GGA, relaxed)
# space group	P4/mbm (127)
# V	15.90	Å³ per atom
data_V2HgIr2
_cell_length_a 7.571
_cell_length_b 7.571
_cell_length_c 2.774
_cell_angle_alpha 90.00
_cell_angle_beta 90.00
_cell_angle_gamma 90.00
_symmetry_space_group_name_H-M 'P 1'
_symmetry_Int_Tables_number 1
_symmetry_space_group_name_Hall 'P 1'
loop_
_atom_site_label
_atom_site_type_symbol
_atom_site_fract_x
_atom_site_fract_y
_atom_site_fract_z
Ir1 Ir 0.638 0.862 0.500
Ir2 Ir 0.362 0.138 0.500
Ir3 Ir 0.862 0.362 0.500
Ir4 Ir 0.138 0.638 0.500
V1 V 0.650 0.150 0.000
V2 V 0.150 0.350 0.000
V3 V 0.850 0.650 0.000
V4 V 0.350 0.850 0.000
Hg1 Hg 0.000 0.000 0.000
Hg2 Hg 0.500 0.500 0.000

***

B:
# V2HgIr2 (PBE-GGA, relaxed)
# space group	I4/mmm (139)
# V	17.48	Å³ per atom
data_V2HgIr2
_cell_length_a 4.125
_cell_length_b 4.125
_cell_length_c 5.907
_cell_angle_alpha 69.56
_cell_angle_beta 69.56
_cell_angle_gamma 90.00
_symmetry_space_group_name_H-M 'P 1'
_symmetry_Int_Tables_number 1
_symmetry_space_group_name_Hall 'P 1'
loop_
_atom_site_label
_atom_site_type_symbol
_atom_site_fract_x
_atom_site_fract_y
_atom_site_fract_z
V1 V 0.750 0.250 0.500
V2 V 0.250 0.750 0.500
Ir1 Ir 0.624 0.624 0.753
Ir2 Ir 0.376 0.376 0.247
Hg1 Hg 0.000 0.000 0.000

***

Stability check: which of them is least stable? B.

***

A:
# VHgIr3 (PBE-GGA, relaxed)
# space group	Pm-3m (221)
# V	23.48	Å³ per atom
data_VHgIr3
_cell_length_a 4.897
_cell_length_b 4.897
_cell_length_c 4.897
_cell_angle_alpha 90.00
_cell_angle_beta 90.00
_cell_angle_gamma 90.00
_symmetry_space_group_name_H-M 'P 1'
_symmetry_Int_Tables_number 1
_symmetry_space_group_name_Hall 'P 1'
loop_
_atom_site_label
_atom_site_type_symbol
_atom_site_fract_x
_atom_site_fract_y
_atom_site_fract_z
Ir1 Ir 0.000 0.000 0.500
Ir2 Ir 0.000 0.500 0.000
Ir3 Ir 0.500 0.000 0.000
Hg1 Hg 0.000 0.000 0.000
V1 V 0.500 0.500 0.500

***

B:
# VHgIr3 (PBE-GGA, relaxed)
# space group	Pm-3m (221)
# V	19.02	Å³ per atom
data_VHgIr3
_cell_length_a 4.564
_cell_length_b 4.564
_cell_length_c 4.564
_cell_angle_alpha 90.00
_cell_angle_beta 90.00
_cell_angle_gamma 90.00
_symmetry_space_group_name_H-M 'P 1'
_symmetry_Int_Tables_number 1
_symmetry_space_group_name_Hall 'P 1'
loop_
_atom_site_label
_atom_site_type_symbol
_atom_site_fract_x
_atom_site_fract_y
_atom_site_fract_z
Ir1 Ir 0.000 0.000 0.500
Ir2 Ir 0.000 0.500 0.000
Ir3 Ir 0.500 0.000 0.000
V1 V 0.000 0.000 0.000
Hg1 Hg 0.500 0.500 0.500

***

Stability check: which of them is least stable? A.

***

A:
# Hg2IrW (PBE-GGA, relaxed)
# space group	Pm (6)
# V	18.86	Å³ per atom
data_Hg2IrW
_cell_length_a 2.915
_cell_length_b 2.946
_cell_length_c 8.917
_cell_angle_alpha 80.15
_cell_angle_beta 90.00
_cell_angle_gamma 90.00
_symmetry_space_group_name_H-M 'P 1'
_symmetry_Int_Tables_number 1
_symmetry_space_group_name_Hall 'P 1'
loop_
_atom_site_label
_atom_site_type_symbol
_atom_site_fract_x
_atom_site_fract_y
_atom_site_fract_z
W1 W 0.500 0.828 0.718
Hg1 Hg 0.500 0.050 0.280
Hg2 Hg 0.000 0.198 0.970
Ir1 Ir 0.000 0.424 0.533

***

B:
# Hg2IrW (PBE-GGA, relaxed)
# space group	Imm2 (44)
# V	19.38	Å³ per atom
data_Hg2IrW
_cell_length_a 6.252
_cell_length_b 6.252
_cell_length_c 6.252
_cell_angle_alpha 153.75
_cell_angle_beta 133.86
_cell_angle_gamma 53.86
_symmetry_space_group_name_H-M 'P 1'
_symmetry_Int_Tables_number 1
_symmetry_space_group_name_Hall 'P 1'
loop_
_atom_site_label
_atom_site_type_symbol
_atom_site_fract_x
_atom_site_fract_y
_atom_site_fract_z
Hg1 Hg 0.028 0.028 0.000
Hg2 Hg 0.726 0.226 0.500
Ir1 Ir 0.467 0.467 0.000
W1 W 0.279 0.779 0.500

***

C:
# Hg2IrW (PBE-GGA, relaxed)
# space group	P4/mmm (123)
# V	17.79	Å³ per atom
data_Hg2IrW
_cell_length_a 2.879
_cell_length_b 2.879
_cell_length_c 8.586
_cell_angle_alpha 90.00
_cell_angle_beta 90.00
_cell_angle_gamma 90.00
_symmetry_space_group_name_H-M 'P 1'
_symmetry_Int_Tables_number 1
_symmetry_space_group_name_Hall 'P 1'
loop_
_atom_site_label
_atom_site_type_symbol
_atom_site_fract_x
_atom_site_fract_y
_atom_site_fract_z
Hg1 Hg 0.000 0.000 0.492
Hg2 Hg 0.000 0.000 0.008
W1 W 0.500 0.500 0.750
Ir1 Ir 0.500 0.500 0.250

***

Stability check: which of them is least stable? C.

***

A:
# Hg2IrW (PBE-GGA, relaxed)
# space group	Fm-3m (225)
# V	17.76	Å³ per atom
data_Hg2IrW
_cell_length_a 4.649
_cell_length_b 4.649
_cell_length_c 4.649
_cell_angle_alpha 60.00
_cell_angle_beta 60.00
_cell_angle_gamma 60.00
_symmetry_space_group_name_H-M 'P 1'
_symmetry_Int_Tables_number 1
_symmetry_space_group_name_Hall 'P 1'
loop_
_atom_site_label
_atom_site_type_symbol
_atom_site_fract_x
_atom_site_fract_y
_atom_site_fract_z
W1 W 0.000 0.000 0.000
Hg1 Hg 0.750 0.750 0.750
Hg2 Hg 0.250 0.250 0.250
Ir1 Ir 0.500 0.500 0.500

***

B:
# Hg2IrW (PBE-GGA, relaxed)
# space group	Cmmm (65)
# V	18.12	Å³ per atom
data_Hg2IrW
_cell_length_a 2.909
_cell_length_b 2.909
_cell_length_c 9.803
_cell_angle_alpha 90.00
_cell_angle_beta 90.00
_cell_angle_gamma 119.11
_symmetry_space_group_name_H-M 'P 1'
_symmetry_Int_Tables_number 1
_symmetry_space_group_name_Hall 'P 1'
loop_
_atom_site_label
_atom_site_type_symbol
_atom_site_fract_x
_atom_site_fract_y
_atom_site_fract_z
Hg1 Hg 0.000 0.000 0.006
Hg2 Hg 0.000 0.000 0.494
W1 W 0.500 0.500 0.750
Ir1 Ir 0.500 0.500 0.250

***

C:
# Hg2IrW (PBE-GGA, relaxed)
# space group	R-3m (166)
# V	17.82	Å³ per atom
data_Hg2IrW
_cell_length_a 9.473
_cell_length_b 9.473
_cell_length_c 9.473
_cell_angle_alpha 18.05
_cell_angle_beta 18.05
_cell_angle_gamma 18.05
_symmetry_space_group_name_H-M 'P 1'
_symmetry_Int_Tables_number 1
_symmetry_space_group_name_Hall 'P 1'
loop_
_atom_site_label
_atom_site_type_symbol
_atom_site_fract_x
_atom_site_fract_y
_atom_site_fract_z
Ir1 Ir 0.250 0.250 0.250
W1 W 0.750 0.750 0.750
Hg1 Hg 0.502 0.502 0.502
Hg2 Hg 0.998 0.998 0.998

***

D:
# Hg2IrW (PBE-GGA, relaxed)
# space group	Pmmm (47)
# V	18.05	Å³ per atom
data_Hg2IrW
_cell_length_a 2.935
_cell_length_b 4.931
_cell_length_c 4.989
_cell_angle_alpha 90.00
_cell_angle_beta 90.00
_cell_angle_gamma 90.00
_symmetry_space_group_name_H-M 'P 1'
_symmetry_Int_Tables_number 1
_symmetry_space_group_name_Hall 'P 1'
loop_
_atom_site_label
_atom_site_type_symbol
_atom_site_fract_x
_atom_site_fract_y
_atom_site_fract_z
Ir1 Ir 0.500 0.000 0.500
Hg1 Hg 0.000 0.000 0.000
Hg2 Hg 0.500 0.500 0.000
W1 W 0.000 0.500 0.500

***

Stability check: which of them is least stable? A.

***

A:
# Hg2IrW (PBE-GGA, relaxed)
# space group	Cmmm (65)
# V	18.04	Å³ per atom
data_Hg2IrW
_cell_length_a 5.282
_cell_length_b 5.282
_cell_length_c 2.908
_cell_angle_alpha 90.00
_cell_angle_beta 90.00
_cell_angle_gamma 117.22
_symmetry_space_group_name_H-M 'P 1'
_symmetry_Int_Tables_number 1
_symmetry_space_group_name_Hall 'P 1'
loop_
_atom_site_label
_atom_site_type_symbol
_atom_site_fract_x
_atom_site_fract_y
_atom_site_fract_z
Hg1 Hg 0.000 0.000 0.000
Hg2 Hg 0.500 0.500 0.000
Ir1 Ir 0.500 0.000 0.500
W1 W 0.000 0.500 0.500

***

B:
# Hg2IrW (PBE-GGA, relaxed)
# space group	C2/m (12)
# V	17.75	Å³ per atom
data_Hg2IrW
_cell_length_a 5.074
_cell_length_b 5.074
_cell_length_c 5.065
_cell_angle_alpha 79.42
_cell_angle_beta 79.42
_cell_angle_gamma 33.70
_symmetry_space_group_name_H-M 'P 1'
_symmetry_Int_Tables_number 1
_symmetry_space_group_name_Hall 'P 1'
loop_
_atom_site_label
_atom_site_type_symbol
_atom_site_fract_x
_atom_site_fract_y
_atom_site_fract_z
Ir1 Ir 0.750 0.750 0.750
Hg1 Hg 0.001 0.001 0.998
Hg2 Hg 0.499 0.499 0.502
W1 W 0.250 0.250 0.250

***

C:
# Hg2IrW (PBE-GGA, relaxed)
# space group	P4/mmm (123)
# V	17.86	Å³ per atom
data_Hg2IrW
_cell_length_a 4.872
_cell_length_b 4.872
_cell_length_c 3.010
_cell_angle_alpha 90.00
_cell_angle_beta 90.00
_cell_angle_gamma 90.00
_symmetry_space_group_name_H-M 'P 1'
_symmetry_Int_Tables_number 1
_symmetry_space_group_name_Hall 'P 1'
loop_
_atom_site_label
_atom_site_type_symbol
_atom_site_fract_x
_atom_site_fract_y
_atom_site_fract_z
Hg1 Hg 0.000 0.000 0.000
Hg2 Hg 0.500 0.500 0.000
W1 W 0.000 0.500 0.500
Ir1 Ir 0.500 0.000 0.500

***

D:
# Hg2IrW (PBE-GGA, relaxed)
# space group	I-4m2 (119)
# V	17.83	Å³ per atom
data_Hg2IrW
_cell_length_a 4.924
_cell_length_b 4.924
_cell_length_c 4.924
_cell_angle_alpha 128.38
_cell_angle_beta 128.38
_cell_angle_gamma 76.01
_symmetry_space_group_name_H-M 'P 1'
_symmetry_Int_Tables_number 1
_symmetry_space_group_name_Hall 'P 1'
loop_
_atom_site_label
_atom_site_type_symbol
_atom_site_fract_x
_atom_site_fract_y
_atom_site_fract_z
Ir1 Ir 0.500 0.500 0.000
Hg1 Hg 0.000 0.000 0.000
Hg2 Hg 0.250 0.750 0.500
W1 W 0.750 0.250 0.500

***

Stability check: which of them is least stable? C.